1.
# PBE-GGA ZrBe2CdS, relaxed
data_ZrBe2CdS
_chemical_formula_sum 'Zr1 Be2 Cd1 S1'
_symmetry_space_group_name_H-M 'P 4/m m m'
_symmetry_Int_Tables_number 123
_symmetry_space_group_name_Hall '-P 4 2'
_cell_length_a 5.052
_cell_length_b 5.052
_cell_length_c 4.826
_cell_angle_alpha 90.00
_cell_angle_beta 90.00
_cell_angle_gamma 90.00
loop_
_atom_site_label
_atom_site_type_symbol
_atom_site_fract_x
_atom_site_fract_y
_atom_site_fract_z
_atom_site_occupancy
Zr1 Zr 0.000 0.000 0.000 1
Be1 Be 0.000 0.500 0.000 1
Cd1 Cd 0.500 0.500 0.500 1
S1 S 0.000 0.000 0.500 1
# * energy: -0.2510 Ry/atom
# * formation energy (no corrections): 794 meV/atom
# * volume: 24.63 Å³/atom

---

2.
# PBE-GGA Pm6Pr2Er3In, relaxed
data_Pm6Pr2Er3In
_chemical_formula_sum 'Pm12 Pr4 Er6 In2'
_symmetry_space_group_name_H-M 'C 1 2/m 1'
_symmetry_Int_Tables_number 12
_cell_length_a 6.189
_cell_length_b 10.736
_cell_length_c 11.883
_cell_angle_alpha 90.00
_cell_angle_beta 100.02
_cell_angle_gamma 90.00
loop_
_symmetry_equiv_pos_as_xyz
'x,y,z'
'-x,-y,-z'
'-x,y,-z'
'x,-y,z'
'x+1/2,y+1/2,z'
'-x+1/2,-y+1/2,-z'
'-x+1/2,y+1/2,-z'
'x+1/2,-y+1/2,z'
loop_
_atom_site_label
_atom_site_type_symbol
_atom_site_fract_x
_atom_site_fract_y
_atom_site_fract_z
_atom_site_occupancy
Pm1 Pm 0.241 0.000 0.247 1
Pm2 Pm 0.247 0.163 0.753 1
Pr1 Pr 0.000 0.334 0.500 1
Er1 Er 0.000 0.167 0.000 1
Er2 Er 0.000 0.500 0.000 1
In1 In 0.000 0.000 0.500 1
# * energy: -0.3377 Ry/atom
# * volume: 32.40 Å³/atom

---

3.
# PBE-GGA ScInBr2Cl, relaxed
data_ScInBr2Cl
_chemical_formula_sum 'Sc1 In1 Br2 Cl1'
_symmetry_space_group_name_H-M 'P 4/m m m'
_symmetry_Int_Tables_number 123
_symmetry_space_group_name_Hall '-P 4 2'
_cell_length_a 5.454
_cell_length_b 5.454
_cell_length_c 5.033
_cell_angle_alpha 90.00
_cell_angle_beta 90.00
_cell_angle_gamma 90.00
loop_
_atom_site_label
_atom_site_type_symbol
_atom_site_fract_x
_atom_site_fract_y
_atom_site_fract_z
_atom_site_occupancy
Sc1 Sc 0.000 0.000 0.000 1
In1 In 0.500 0.500 0.500 1
Br1 Br 0.000 0.500 0.000 1
Cl1 Cl 0.000 0.000 0.500 1
# * energy: -0.2967 Ry/atom
# * formation energy (no corrections): -1184 meV/atom
# * volume: 29.95 Å³/atom

---

4.
# PBE-GGA TbCePa2S4, relaxed
data_TbCePa2S4
_chemical_formula_sum 'Tb1 Ce1 Pa2 S4'
_symmetry_space_group_name_H-M 'P 1 2/m 1'
_symmetry_Int_Tables_number 10
_cell_length_a 6.740
_cell_length_b 3.834
_cell_length_c 6.978
_cell_angle_alpha 90.00
_cell_angle_beta 108.21
_cell_angle_gamma 90.00
loop_
_symmetry_equiv_pos_as_xyz
'x,y,z'
'-x,-y,-z'
'-x,y,-z'
'x,-y,z'
loop_
_atom_site_label
_atom_site_type_symbol
_atom_site_fract_x
_atom_site_fract_y
_atom_site_fract_z
_atom_site_occupancy
Tb1 Tb 0.000 0.000 0.000 1
Ce1 Ce 0.500 0.500 0.000 1
Pa1 Pa 0.000 0.500 0.500 1
Pa2 Pa 0.500 0.000 0.500 1
S1 S 0.245 0.000 0.748 1
S2 S 0.246 0.500 0.250 1
# * energy: -0.5553 Ry/atom
# * formation energy (no corrections): -1797 meV/atom
# * volume: 21.41 Å³/atom

---

5.
# PBE-GGA U3Ni, relaxed
data_U3Ni
_chemical_formula_sum 'U3 Ni1'
_symmetry_space_group_name_H-M 'P m m 2'
_symmetry_Int_Tables_number 25
_cell_length_a 2.896
_cell_length_b 4.766
_cell_length_c 5.313
_cell_angle_alpha 90.00
_cell_angle_beta 90.00
_cell_angle_gamma 90.00
loop_
_symmetry_equiv_pos_as_xyz
'x,y,z'
'-x,-y,z'
'-x,y,z'
'x,-y,z'
loop_
_atom_site_label
_atom_site_type_symbol
_atom_site_fract_x
_atom_site_fract_y
_atom_site_fract_z
_atom_site_occupancy
U1 U 0.000 0.000 0.000 1
U2 U 0.000 0.500 0.251 1
U3 U 0.500 0.500 0.720 1
Ni1 Ni 0.500 0.000 0.461 1
# * ΔE to the lowest computed polymorph: 69 meV per atom
# * energy: -0.7209 Ry/atom
# * volume: 18.33 Å³/atom

---

6.
# PBE-GGA Rb3NbBr6, relaxed
data_Rb3NbBr6
_chemical_formula_sum 'Rb6 Nb2 Br12'
_symmetry_space_group_name_H-M 'P 1 21/c 1'
_symmetry_Int_Tables_number 14
_cell_length_a 8.010
_cell_length_b 8.406
_cell_length_c 13.880
_cell_angle_alpha 90.00
_cell_angle_beta 123.65
_cell_angle_gamma 90.00
loop_
_symmetry_equiv_pos_as_xyz
'x,y,z'
'-x,-y,-z'
'-x,y+1/2,-z+1/2'
'x,-y+1/2,z+1/2'
loop_
_atom_site_label
_atom_site_type_symbol
_atom_site_fract_x
_atom_site_fract_y
_atom_site_fract_z
_atom_site_occupancy
Rb1 Rb 0.000 0.000 0.000 1
Rb2 Rb 0.284 0.079 0.757 1
Nb1 Nb 0.500 0.000 0.500 1
Br1 Br 0.176 0.027 0.284 1
Br2 Br 0.285 0.669 0.057 1
Br3 Br 0.398 0.230 0.057 1
# * ΔE to the lowest computed polymorph: 0 meV per atom
# * energy: -0.2690 Ry/atom
# * formation energy (no corrections): -1359 meV/atom
# * volume: 38.90 Å³/atom

---

7.
# PBE-GGA TaFeSb2, relaxed
data_TaFeSb2
_chemical_formula_sum 'Ta4 Fe4 Sb8'
_symmetry_space_group_name_H-M 'F m -3 m'
_symmetry_Int_Tables_number 225
_symmetry_space_group_name_Hall '-F 4 2 3'
_cell_length_a 6.707
_cell_length_b 6.707
_cell_length_c 6.707
_cell_angle_alpha 90.00
_cell_angle_beta 90.00
_cell_angle_gamma 90.00
loop_
_atom_site_label
_atom_site_type_symbol
_atom_site_fract_x
_atom_site_fract_y
_atom_site_fract_z
_atom_site_occupancy
Ta1 Ta 0.000 0.000 0.000 1
Fe1 Fe 0.000 0.000 0.500 1
Sb1 Sb 0.250 0.250 0.250 1
# * ΔE to the lowest computed polymorph: 360 meV per atom
# * energy: -0.4961 Ry/atom
# * formation energy (no corrections): 390 meV/atom
# * volume: 18.86 Å³/atom

---

8.
# PBE-GGA Sc6P2PbS3, relaxed
data_Sc6P2PbS3
_chemical_formula_sum 'Sc12 P4 Pb2 S6'
_symmetry_space_group_name_H-M 'C 1 2/m 1'
_symmetry_Int_Tables_number 12
_cell_length_a 16.625
_cell_length_b 3.740
_cell_length_c 7.761
_cell_angle_alpha 90.00
_cell_angle_beta 103.25
_cell_angle_gamma 90.00
loop_
_symmetry_equiv_pos_as_xyz
'x,y,z'
'-x,-y,-z'
'-x,y,-z'
'x,-y,z'
'x+1/2,y+1/2,z'
'-x+1/2,-y+1/2,-z'
'-x+1/2,y+1/2,-z'
'x+1/2,-y+1/2,z'
loop_
_atom_site_label
_atom_site_type_symbol
_atom_site_fract_x
_atom_site_fract_y
_atom_site_fract_z
_atom_site_occupancy
Sc1 Sc 0.003 0.000 0.280 1
Sc2 Sc 0.172 0.500 0.578 1
Sc3 Sc 0.177 0.500 0.102 1
P1 P 0.167 0.000 0.336 1
Pb1 Pb 0.000 0.500 0.000 1
S1 S 0.000 0.500 0.500 1
S2 S 0.165 0.000 0.831 1
# * energy: -0.5055 Ry/atom
# * formation energy (no corrections): -1470 meV/atom
# * volume: 19.57 Å³/atom

---

9.
# PBE-GGA SnPPdSe2, relaxed
data_SnPPdSe2
_chemical_formula_sum 'Sn1 P1 Pd1 Se2'
_symmetry_space_group_name_H-M 'P 4/m m m'
_symmetry_Int_Tables_number 123
_symmetry_space_group_name_Hall '-P 4 2'
_cell_length_a 5.067
_cell_length_b 5.067
_cell_length_c 4.482
_cell_angle_alpha 90.00
_cell_angle_beta 90.00
_cell_angle_gamma 90.00
loop_
_atom_site_label
_atom_site_type_symbol
_atom_site_fract_x
_atom_site_fract_y
_atom_site_fract_z
_atom_site_occupancy
Sn1 Sn 0.000 0.000 0.000 1
P1 P 0.500 0.500 0.500 1
Pd1 Pd 0.500 0.500 0.000 1
Se1 Se 0.000 0.500 0.500 1
# * energy: -0.3084 Ry/atom
# * formation energy (no corrections): 119 meV/atom
# * volume: 23.02 Å³/atom

---

10.
# PBE-GGA TcSe2Cl, relaxed
data_TcSe2Cl
_chemical_formula_sum 'Tc1 Se2 Cl1'
_symmetry_space_group_name_H-M 'P 4/m m m'
_symmetry_Int_Tables_number 123
_symmetry_space_group_name_Hall '-P 4 2'
_cell_length_a 4.822
_cell_length_b 4.822
_cell_length_c 3.055
_cell_angle_alpha 90.00
_cell_angle_beta 90.00
_cell_angle_gamma 90.00
loop_
_atom_site_label
_atom_site_type_symbol
_atom_site_fract_x
_atom_site_fract_y
_atom_site_fract_z
_atom_site_occupancy
Tc1 Tc 0.000 0.000 0.000 1
Se1 Se 0.000 0.500 0.500 1
Cl1 Cl 0.500 0.500 0.000 1
# * ΔE to the lowest computed polymorph: 954 meV per atom
# * energy: -0.2985 Ry/atom
# * formation energy (no corrections): 734 meV/atom
# * volume: 17.75 Å³/atom

---

11.
# PBE-GGA ThAgPd, relaxed
data_ThAgPd
_chemical_formula_sum 'Th3 Ag3 Pd3'
_symmetry_space_group_name_H-M 'P -6 2 m'
_symmetry_Int_Tables_number 189
_symmetry_space_group_name_Hall 'P -6 -2'
_cell_length_a 7.6636
_cell_length_b 7.6636
_cell_length_c 3.9529
_cell_angle_alpha 90.00
_cell_angle_beta 90.00
_cell_angle_gamma 120.00
loop_
_atom_site_label
_atom_site_type_symbol
_atom_site_fract_x
_atom_site_fract_y
_atom_site_fract_z
_atom_site_occupancy
Th1 Th 0.0000 0.3949 0.0000 1
Ag1 Ag 0.0000 0.7408 0.5000 1
Pd1 Pd 0.0000 0.0000 0.0000 1
Pd2 Pd 0.3333 0.6667 0.5000 1
# * ΔE to the lowest computed polymorph: 0 meV per atom
# * energy: -0.4183 Ry/atom
# * volume: 22.34 Å³/atom

---

12.
# PBE-GGA YHg2Sb, relaxed
data_YHg2Sb
_chemical_formula_sum 'Y2 Hg4 Sb2'
_symmetry_space_group_name_H-M 'C m m m'
_symmetry_Int_Tables_number 65
_symmetry_space_group_name_Hall '-C 2 2'
_cell_length_a 6.245
_cell_length_b 6.365
_cell_length_c 5.566
_cell_angle_alpha 90.00
_cell_angle_beta 90.00
_cell_angle_gamma 90.00
loop_
_atom_site_label
_atom_site_type_symbol
_atom_site_fract_x
_atom_site_fract_y
_atom_site_fract_z
_atom_site_occupancy
Y1 Y 0.000 0.000 0.000 1
Hg1 Hg 0.000 0.249 0.500 1
Sb1 Sb 0.000 0.500 0.000 1
# * energy: -0.2379 Ry/atom
# * formation energy (no corrections): -439 meV/atom
# * volume: 27.66 Å³/atom